Material: LaMnPd2
Method: DFT, PBEsol
State: relaxed

a b c (Å): 6.760 6.760 6.760
angles (deg): 90.00 90.00 90.00
Space group Fm-3m (No. 225)
Unique sites:
La1 0.000 0.000 0.000
Mn1 0.000 0.000 0.500
Pd1 0.250 0.250 0.250

- Calculated volume: 19.31 Å³/atom
- Energy: -0.2572 Ha/atom
- N(E_F): 0.704 states/eV/atom
- Formation energy: -0.2426 eV/atom



Material: MgTaP2S
Method: DFT, PBEsol
State: relaxed

a b c (Å): 4.804 4.804 4.710
angles (deg): 90.00 90.00 90.00
Space group P4/mmm (No. 123)
Unique sites:
Mg1 0.000 0.000 0.000
Ta1 0.500 0.500 0.500
P1 0.000 0.500 0.500
S1 0.500 0.500 0.000

- Calculated volume: 21.74 Å³/atom
- Energy: -0.2228 Ha/atom
- Formation energy from raw total energies: -16 meV/atom
- N(E_F): 0.564 states/eV/atom



Material: Mn2CrPb
Method: DFT, PBEsol
State: relaxed

a b c (Å): 3.019 3.019 6.911
angles (deg): 90.00 90.00 90.00
Space group P4mm (No. 99)
Unique sites:
Mn1 0.000 0.000 0.000
Mn2 0.500 0.500 0.201
Cr1 0.000 0.000 0.386
Pb1 0.500 0.500 0.700

- Calculated volume: 15.75 Å³/atom
- Energy: -0.2898 Ha/atom
- N(E_F): 0.920 states/eV/atom
- Formation energy: 0.5546 eV/atom



Material: KTlTc2
Method: DFT, PBEsol
State: relaxed

a b c (Å): 3.460 5.155 6.254
angles (deg): 90.00 98.34 90.00
Space group P2/m (No. 10)
Unique sites:
K1 0.000 0.000 0.000
Tl1 0.500 0.000 0.500
Tc1 0.278 0.500 0.615

- Calculated volume: 27.60 Å³/atom
- Energy: -0.2059 Ha/atom
- N(E_F): 1.065 states/eV/atom
- Formation energy: 0.9708 eV/atom



Material: UF4
Method: DFT, PBEsol
State: relaxed

a b c (Å): 12.687 10.759 8.307
angles (deg): 90.00 126.52 90.00
Space group C2/c (No. 15)
Unique sites:
U1 0.000 0.214 0.250
U2 0.205 0.428 0.831
F1 0.000 0.396 0.750
F2 0.106 0.295 0.570
F3 0.119 0.379 0.285
F4 0.120 0.055 0.457
F5 0.124 0.152 0.153
F6 0.211 0.470 0.105
F7 0.250 0.250 0.000

- Calculated volume: 15.19 Å³/atom
- Energy: -0.2760 Ha/atom
- Formation energy from raw total energies: -3538 meV/atom
- N(E_F): 1.466 states/eV/atom



Material: LiMgPb
Method: DFT, PBEsol
State: relaxed

a b c (Å): 3.391 4.384 8.881
angles (deg): 90.00 90.00 90.00
Space group Imm2 (No. 44)
Unique sites:
Li1 0.000 0.000 0.000
Mg1 0.000 0.000 0.671
Pb1 0.000 0.000 0.334

- Calculated volume: 22.01 Å³/atom
- Energy: -0.1019 Ha/atom
- N(E_F): 0.318 states/eV/atom
- Formation energy: -0.2126 eV/atom



Material: Au5Cl
Method: DFT, PBEsol
State: relaxed

a b c (Å): 7.667 7.667 7.667
angles (deg): 90.00 90.00 90.00
Space group F-43m (No. 216)
Unique sites:
Au1 0.000 0.000 0.000
Au2 0.125 0.125 0.375
Cl1 0.250 0.250 0.750

- Calculated volume: 18.78 Å³/atom
- Energy: -0.1213 Ha/atom
- Formation energy from raw total energies: 305 meV/atom
- N(E_F): 0.161 states/eV/atom



Material: CoSnNF2
Method: DFT, PBEsol
State: relaxed

a b c (Å): 4.172 4.172 3.980
angles (deg): 90.00 90.00 90.00
Space group P4/mmm (No. 123)
Unique sites:
Co1 0.000 0.000 0.000
Sn1 0.500 0.500 0.500
N1 0.500 0.500 0.000
F1 0.000 0.500 0.500

- Calculated volume: 13.85 Å³/atom
- Energy: -0.1848 Ha/atom
- Formation energy from raw total energies: -154 meV/atom
- N(E_F): 1.347 states/eV/atom



Material: HfCuAsBr2
Method: DFT, PBEsol
State: relaxed

a b c (Å): 5.082 5.082 5.256
angles (deg): 90.00 90.00 90.00
Space group P4/mmm (No. 123)
Unique sites:
Hf1 0.000 0.000 0.000
Cu1 0.500 0.500 0.500
As1 0.000 0.000 0.500
Br1 0.000 0.500 0.000

- Calculated volume: 27.15 Å³/atom
- Energy: -0.1707 Ha/atom
- Formation energy from raw total energies: 93 meV/atom
- N(E_F): 0.298 states/eV/atom



Material: PtW2Se
Method: DFT, PBEsol
State: relaxed

a b c (Å): 2.863 3.982 5.532
angles (deg): 90.00 90.00 90.00
Space group Pmm2 (No. 25)
Unique sites:
Pt1 0.000 0.000 0.000
W1 0.000 0.000 0.496
W2 0.500 0.500 0.820
Se1 0.500 0.500 0.324

- Calculated volume: 15.77 Å³/atom
- Energy: -0.3416 Ha/atom
- Formation energy from raw total energies: 312 meV/atom
- N(E_F): 0.536 states/eV/atom



Material: Cr8Co3NiS16
Method: DFT, PBEsol
State: relaxed

a b c (Å): 6.754 6.754 9.531
angles (deg): 90.00 90.00 90.00
Space group P-4m2 (No. 115)
Unique sites:
Cr1 0.000 0.250 0.375
Cr2 0.250 0.500 0.125
Co1 0.000 0.000 0.000
Co2 0.000 0.500 0.750
Ni1 0.500 0.500 0.500
S1 0.000 0.241 0.621
S2 0.000 0.260 0.129
S3 0.240 0.500 0.370
S4 0.260 0.500 0.879

- Calculated volume: 15.53 Å³/atom
- Energy: -0.2614 Ha/atom
- Formation energy from raw total energies: -632 meV/atom
- N(E_F): 0.528 states/eV/atom



Material: ZnAgNF2
Method: DFT, PBEsol
State: relaxed

a b c (Å): 4.034 4.034 3.886
angles (deg): 90.00 90.00 90.00
Space group P4/mmm (No. 123)
Unique sites:
Zn1 0.000 0.000 0.000
Ag1 0.500 0.500 0.500
N1 0.000 0.000 0.500
F1 0.000 0.500 0.000

- Calculated volume: 12.65 Å³/atom
- Energy: -0.1390 Ha/atom
- Formation energy from raw total energies: -326 meV/atom
- N(E_F): 0.295 states/eV/atom